Here is an optimized crystal structure of CaCe3Pa4N12 from the Alexandria database. Energies are from PBE.

The value obtained for the total magnetization is 0.0 μB per formula unit. The value obtained for the uncorrected formation energy is -1.30 eV/atom. For the total energy, the calculation gives -9.18 eV/atom.

It has space group Im-3 (No. 204), with a = 8.5695 Å, b = 8.5695 Å, c = 8.5695 Å, α = 90.00°, β = 90.00° and γ = 90.00°. The asymmetric unit holds Ca at (0.0000, 0.0000, 0.0000), Ce at (0.0000, 0.0000, 0.5000), Pa at (0.2500, 0.2500, 0.2500) and N at (0.0000, 0.1902, 0.3081).

***

Here is an optimized crystal structure of Ca3CePa3N8 from the Alexandria database. Energies are from PBE.

The value obtained for the total magnetization is 0.0 μB per formula unit. The value obtained for the uncorrected formation energy is -1.37 eV/atom. For the total energy, the calculation gives -8.51 eV/atom.

It has space group R-3m (No. 166, hexagonal axes), with a = 7.1417 Å, b = 7.1417 Å, c = 17.0430 Å, α = 90.00°, β = 90.00° and γ = 120.00°. The asymmetric unit holds Ca at (0.0000, 0.5000, 0.0000), Ce at (0.0000, 0.0000, 0.5000), Pa at (0.0000, 0.5000, 0.5000), N at (0.0000, 0.0000, 0.2418) and N at (0.0068, 0.5034, 0.7701).

***

Here is an optimized crystal structure of Ca3Ce2PaN6 from the Alexandria database. Energies are from PBE.

The value obtained for the total magnetization is 1.0 μB per formula unit. The value obtained for the uncorrected formation energy is -1.40 eV/atom. For the total energy, the calculation gives -7.85 eV/atom.

It has space group C2/m (No. 12), with a = 6.2100 Å, b = 10.7545 Å, c = 6.0879 Å, α = 90.00°, β = 109.92° and γ = 90.00°. The asymmetric unit holds Ca at (0.0000, 0.0000, 0.0000), Ca at (0.0000, 0.3337, 0.0000), Ce at (0.0000, 0.1667, 0.5000), Pa at (0.0000, 0.5000, 0.5000), N at (0.2329, 0.3406, 0.7205) and N at (0.2460, 0.5000, 0.2826).

***

Here is an optimized crystal structure of CaCe2PaN4 from the Alexandria database. Energies are from PBE.

The value obtained for the total magnetization is 1.1 μB per formula unit. The value obtained for the uncorrected formation energy is -1.45 eV/atom. For the total energy, the calculation gives -8.54 eV/atom.

It has space group P2/m (No. 10), with a = 6.0582 Å, b = 3.5626 Å, c = 6.1819 Å, α = 90.00°, β = 109.09° and γ = 90.00°. The asymmetric unit holds Ca at (0.0000, 0.0000, 0.0000), Ce at (0.0000, 0.5000, 0.5000), Ce at (0.5000, 0.0000, 0.5000), Pa at (0.5000, 0.5000, 0.0000), N at (0.2726, 0.0000, 0.7691) and N at (0.2758, 0.5000, 0.2449).

***

Here is an optimized crystal structure of Ca2CePbN from the Alexandria database. Energies are from PBE.

The value obtained for the total magnetization is 0.8 μB per formula unit. The value obtained for the uncorrected formation energy is -0.87 eV/atom. For the total energy, the calculation gives -5.26 eV/atom.

It has space group P4/mmm (No. 123), with a = 4.9798 Å, b = 4.9798 Å, c = 4.8848 Å, α = 90.00°, β = 90.00° and γ = 90.00°. The asymmetric unit holds Ca at (0.0000, 0.5000, 0.0000), Ce at (0.0000, 0.0000, 0.5000), Pb at (0.5000, 0.5000, 0.5000) and N at (0.0000, 0.0000, 0.0000).

***

Here is an optimized crystal structure of CaCe2Pm3N6 from the Alexandria database. Energies are from PBE.

The value obtained for the total magnetization is 0.0 μB per formula unit. The value obtained for the uncorrected formation energy is -1.40 eV/atom. For the total energy, the calculation gives -7.91 eV/atom.

It has space group C2/m (No. 12), with a = 15.5037 Å, b = 3.6003 Å, c = 7.1900 Å, α = 90.00°, β = 103.63° and γ = 90.00°. The asymmetric unit holds Ca at (0.0000, 0.0000, 0.0000), Ce at (0.1641, 0.5000, 0.3283), Pm at (0.0000, 0.0000, 0.5000), Pm at (0.1649, 0.5000, 0.8355), N at (0.0077, 0.5000, 0.2621), N at (0.1701, 0.0000, 0.0941) and N at (0.1700, 0.0000, 0.5779).

***

Here is an optimized crystal structure of CaCePm2N4 from the Alexandria database. Energies are from PBE.

The value obtained for the total magnetization is 0.0 μB per formula unit. The value obtained for the uncorrected formation energy is -1.34 eV/atom. For the total energy, the calculation gives -7.68 eV/atom.

It has space group P2/m (No. 10), with a = 6.1546 Å, b = 3.6101 Å, c = 6.1797 Å, α = 90.00°, β = 108.60° and γ = 90.00°. The asymmetric unit holds Ca at (0.0000, 0.0000, 0.0000), Ce at (0.5000, 0.5000, 0.0000), Pm at (0.0000, 0.5000, 0.5000), Pm at (0.5000, 0.0000, 0.5000), N at (0.2572, 0.0000, 0.7523) and N at (0.2695, 0.5000, 0.2469).

***

Here is an optimized crystal structure of Ca3Ce2PrN6 from the Alexandria database. Energies are from PBE.

The value obtained for the total magnetization is 1.1 μB per formula unit. The value obtained for the uncorrected formation energy is -1.15 eV/atom. For the total energy, the calculation gives -7.20 eV/atom.

It has space group C2/m (No. 12), with a = 6.2321 Å, b = 10.8075 Å, c = 6.1347 Å, α = 90.00°, β = 109.73° and γ = 90.00°. The asymmetric unit holds Ca at (0.0000, 0.0000, 0.0000), Ca at (0.0000, 0.3319, 0.0000), Ce at (0.0000, 0.1667, 0.5000), Pr at (0.0000, 0.5000, 0.5000), N at (0.2278, 0.0000, 0.7286) and N at (0.2499, 0.1744, 0.2749).

***

Here is an optimized crystal structure of CaCePrN3 from the Alexandria database. Energies are from PBE.

The value obtained for the total magnetization is 0.0 μB per formula unit. The value obtained for the uncorrected formation energy is -1.18 eV/atom. For the total energy, the calculation gives -7.47 eV/atom.

It has space group P2_1/m (No. 11), with a = 6.1374 Å, b = 3.5840 Å, c = 9.0988 Å, α = 90.00°, β = 102.29° and γ = 90.00°. The asymmetric unit holds Ca at (0.1347, 0.2500, 0.1373), Ce at (0.2350, 0.7500, 0.4559), Pr at (0.3614, 0.2500, 0.8234), N at (0.0393, 0.7500, 0.6409), N at (0.2671, 0.7500, 0.0020) and N at (0.4552, 0.2500, 0.3525).

***

Here is an optimized crystal structure of CaCe2PrN4 from the Alexandria database. Energies are from PBE.

The value obtained for the total magnetization is 0.3 μB per formula unit. The value obtained for the uncorrected formation energy is -1.35 eV/atom. For the total energy, the calculation gives -7.85 eV/atom.

It has space group P2/m (No. 10), with a = 6.1937 Å, b = 3.6050 Å, c = 6.2227 Å, α = 90.00°, β = 109.34° and γ = 90.00°. The asymmetric unit holds Ca at (0.0000, 0.0000, 0.0000), Ce at (0.5000, 0.0000, 0.5000), Ce at (0.5000, 0.5000, 0.0000), Pr at (0.0000, 0.5000, 0.5000), N at (0.2705, 0.0000, 0.7554) and N at (0.2762, 0.5000, 0.2610).

***

Here is an optimized crystal structure of CaCe3Pr2N6 from the Alexandria database. Energies are from PBE.

The value obtained for the total magnetization is 0.0 μB per formula unit. The value obtained for the uncorrected formation energy is -1.38 eV/atom. For the total energy, the calculation gives -7.99 eV/atom.

It has space group C2/m (No. 12), with a = 15.6635 Å, b = 3.6099 Å, c = 7.2026 Å, α = 90.00°, β = 103.03° and γ = 90.00°. The asymmetric unit holds Ca at (0.0000, 0.0000, 0.0000), Ce at (0.0000, 0.0000, 0.5000), Ce at (0.1648, 0.5000, 0.8352), Pr at (0.1663, 0.5000, 0.3317), N at (0.0054, 0.5000, 0.7343), N at (0.1621, 0.0000, 0.5941) and N at (0.1713, 0.0000, 0.0711).

***

Here is an optimized crystal structure of Ca2Ce3PuN6 from the Alexandria database. Energies are from PBE.

The value obtained for the total magnetization is 6.0 μB per formula unit. The value obtained for the uncorrected formation energy is -1.31 eV/atom. For the total energy, the calculation gives -8.49 eV/atom.

It has space group C2/m (No. 12), with a = 6.1688 Å, b = 10.6697 Å, c = 6.1148 Å, α = 90.00°, β = 109.62° and γ = 90.00°. The asymmetric unit holds Ca at (0.0000, 0.1663, 0.0000), Ce at (0.0000, 0.0000, 0.5000), Ce at (0.0000, 0.3326, 0.5000), Pu at (0.0000, 0.5000, 0.0000), N at (0.2255, 0.5000, 0.7388) and N at (0.2421, 0.3442, 0.2596).

***

Here is an optimized crystal structure of CaCe2PuN4 from the Alexandria database. Energies are from PBE.

The value obtained for the total magnetization is 5.9 μB per formula unit. The value obtained for the uncorrected formation energy is -1.31 eV/atom. For the total energy, the calculation gives -9.00 eV/atom.

It has space group Imma (No. 74), with a = 7.0908 Å, b = 7.1032 Å, c = 9.9858 Å, α = 90.00°, β = 90.00° and γ = 90.00°. The asymmetric unit holds Ca at (0.0000, 0.0000, 0.0000), Ce at (0.0000, 0.0000, 0.5000), Ce at (0.2500, 0.2500, 0.2500), Pu at (0.2500, 0.2500, 0.7500), N at (0.0000, 0.0060, 0.7461) and N at (0.2353, 0.2500, 0.5026).

***

Here is an optimized crystal structure of Ca4Ce3PuN8 from the Alexandria database. Energies are from PBE.

The value obtained for the total magnetization is 4.0 μB per formula unit. The value obtained for the uncorrected formation energy is -1.27 eV/atom. For the total energy, the calculation gives -7.94 eV/atom.

It has space group R-3m (No. 166, hexagonal axes), with a = 7.1203 Å, b = 7.1203 Å, c = 17.1443 Å, α = 90.00°, β = 90.00° and γ = 120.00°. The asymmetric unit holds Ca at (0.0000, 0.0000, 0.0000), Ca at (0.0000, 0.5000, 0.0000), Ce at (0.0000, 0.5000, 0.5000), Pu at (0.0000, 0.0000, 0.5000), N at (0.0000, 0.0000, 0.2397) and N at (0.0084, 0.5042, 0.2399).

***

Here is an optimized crystal structure of Ca4CePu3N8 from the Alexandria database. Energies are from PBE.

The value obtained for the total magnetization is 12.0 μB per formula unit. The value obtained for the uncorrected formation energy is -1.22 eV/atom. For the total energy, the calculation gives -8.94 eV/atom.

It has space group R-3m (No. 166, hexagonal axes), with a = 7.0383 Å, b = 7.0383 Å, c = 17.0428 Å, α = 90.00°, β = 90.00° and γ = 120.00°. The asymmetric unit holds Ca at (0.0000, 0.0000, 0.0000), Ca at (0.0000, 0.5000, 0.0000), Ce at (0.0000, 0.0000, 0.5000), Pu at (0.0000, 0.5000, 0.5000), N at (0.0000, 0.0000, 0.2385) and N at (0.0089, 0.5044, 0.7614).

***

Here is an optimized crystal structure of Ca2CePuN4 from the Alexandria database. Energies are from PBE.

The value obtained for the total magnetization is 4.0 μB per formula unit. The value obtained for the uncorrected formation energy is -1.24 eV/atom. For the total energy, the calculation gives -8.43 eV/atom.

It has space group P2/m (No. 10), with a = 6.0713 Å, b = 3.5350 Å, c = 6.1376 Å, α = 90.00°, β = 110.07° and γ = 90.00°. The asymmetric unit holds Ca at (0.0000, 0.0000, 0.0000), Ca at (0.0000, 0.5000, 0.5000), Ce at (0.5000, 0.0000, 0.5000), Pu at (0.5000, 0.5000, 0.0000), N at (0.2801, 0.5000, 0.2548) and N at (0.2837, 0.0000, 0.7721).

***

Here is an optimized crystal structure of Ca3Ce3ReN8 from the Alexandria database. Energies are from PBE.

The value obtained for the total magnetization is 0.2 μB per formula unit. The value obtained for the uncorrected formation energy is -1.02 eV/atom. For the total energy, the calculation gives -7.88 eV/atom.

It has space group R-3m (No. 166, hexagonal axes), with a = 6.8876 Å, b = 6.8876 Å, c = 16.9749 Å, α = 90.00°, β = 90.00° and γ = 120.00°. The asymmetric unit holds Ca at (0.0000, 0.5000, 0.0000), Ce at (0.0000, 0.5000, 0.5000), Re at (0.0000, 0.0000, 0.5000), N at (0.0000, 0.0000, 0.2439) and N at (0.0414, 0.5207, 0.2326).

***

Here is an optimized crystal structure of Ca2CeReN4 from the Alexandria database. Energies are from PBE.

The value obtained for the total magnetization is 0.9 μB per formula unit. The value obtained for the uncorrected formation energy is -0.71 eV/atom. For the total energy, the calculation gives -7.67 eV/atom.

It has space group Cmcm (No. 63), with a = 3.4198 Å, b = 11.8661 Å, c = 12.1159 Å, α = 90.00°, β = 90.00° and γ = 90.00°. The asymmetric unit holds Ca at (0.0000, 0.1265, 0.0350), Ce at (0.0000, 0.4199, 0.2500), Re at (0.0000, 0.3253, 0.7500), N at (0.0000, 0.0778, 0.2500), N at (0.0000, 0.2306, 0.6316) and N at (0.0000, 0.5000, 0.0000).

***

Here is an optimized crystal structure of CaCe2RhN4 from the Alexandria database. Energies are from PBE.

The value obtained for the total magnetization is 0.0 μB per formula unit. The value obtained for the uncorrected formation energy is -0.85 eV/atom. For the total energy, the calculation gives -7.67 eV/atom.

It has space group Cmcm (No. 63), with a = 3.4496 Å, b = 11.9300 Å, c = 11.8219 Å, α = 90.00°, β = 90.00° and γ = 90.00°. The asymmetric unit holds Ca at (0.0000, 0.1118, 0.2500), Ce at (0.0000, 0.3696, 0.0483), Rh at (0.0000, 0.1501, 0.7500), N at (0.0000, 0.0000, 0.0000), N at (0.0000, 0.2648, 0.6167) and N at (0.0000, 0.4493, 0.2500).

***

Here is an optimized crystal structure of CaCe2RuN4 from the Alexandria database. Energies are from PBE.

The value obtained for the total magnetization is 0.0 μB per formula unit. The value obtained for the uncorrected formation energy is -0.88 eV/atom. For the total energy, the calculation gives -7.94 eV/atom.

It has space group Cmcm (No. 63), with a = 3.5522 Å, b = 11.7260 Å, c = 12.2508 Å, α = 90.00°, β = 90.00° and γ = 90.00°. The asymmetric unit holds Ca at (0.0000, 0.0736, 0.2500), Ce at (0.0000, 0.3680, 0.0506), Ru at (0.0000, 0.1788, 0.7500), N at (0.0000, 0.0000, 0.0000), N at (0.0000, 0.2553, 0.6079) and N at (0.0000, 0.4174, 0.2500).